Computed, not measured: an optimized crystal structure of LaTbErZn at the GGA-PBE level of DFT.

Geometry as CIF:
```
data_LaTbErZn
_chemical_formula_sum 'La4 Tb4 Er4 Zn4'
_symmetry_space_group_name_H-M 'F -4 3 m'
_symmetry_Int_Tables_number 216
_symmetry_space_group_name_Hall 'F -4 2 3'
_cell_length_a 7.675
_cell_length_b 7.675
_cell_length_c 7.675
_cell_angle_alpha 90.00
_cell_angle_beta 90.00
_cell_angle_gamma 90.00
loop_
_atom_site_label
_atom_site_type_symbol
_atom_site_fract_x
_atom_site_fract_y
_atom_site_fract_z
La1 La 0.000 0.000 0.000
Tb1 Tb 0.000 0.000 0.500
Er1 Er 0.250 0.250 0.250
Zn1 Zn 0.250 0.250 0.750
```

## Properties
- ΔE_f (eV/atom) = 0.0230
- crystal system = cubic
- energy above the most stable polymorph in this dataset (eV per atom) = 0.178

***

Computed, not measured: an optimized crystal structure of LaTbErZn at the GGA-PBE level of DFT.

Geometry as CIF:
```
data_LaTbErZn
_chemical_formula_sum 'La1 Tb1 Er1 Zn1'
_symmetry_space_group_name_H-M 'P 4 m m'
_symmetry_Int_Tables_number 99
_cell_length_a 3.594
_cell_length_b 3.594
_cell_length_c 8.806
_cell_angle_alpha 90.00
_cell_angle_beta 90.00
_cell_angle_gamma 90.00
loop_
_symmetry_equiv_pos_as_xyz
'x,y,z'
'-y,x,z'
'-x,-y,z'
'y,-x,z'
'-x,y,z'
'y,x,z'
'x,-y,z'
'-y,-x,z'
loop_
_atom_site_label
_atom_site_type_symbol
_atom_site_fract_x
_atom_site_fract_y
_atom_site_fract_z
La1 La 0.000 0.000 0.000
Tb1 Tb 0.500 0.500 0.696
Er1 Er 0.500 0.500 0.299
Zn1 Zn 0.000 0.000 0.492
```

## Properties
- ΔE_f (eV/atom) = -0.1548
- crystal system = tetragonal
- energy above the most stable polymorph in this dataset (eV per atom) = 0.000

***

Computed, not measured: an optimized crystal structure of LaTbErZr at the GGA-PBE level of DFT.

Geometry as CIF:
```
data_LaTbErZr
_chemical_formula_sum 'La4 Tb4 Er4 Zr4'
_symmetry_space_group_name_H-M 'F -4 3 m'
_symmetry_Int_Tables_number 216
_symmetry_space_group_name_Hall 'F -4 2 3'
_cell_length_a 7.837
_cell_length_b 7.837
_cell_length_c 7.837
_cell_angle_alpha 90.00
_cell_angle_beta 90.00
_cell_angle_gamma 90.00
loop_
_atom_site_label
_atom_site_type_symbol
_atom_site_fract_x
_atom_site_fract_y
_atom_site_fract_z
La1 La 0.000 0.000 0.000
Tb1 Tb 0.250 0.250 0.250
Er1 Er 0.250 0.250 0.750
Zr1 Zr 0.000 0.000 0.500
```

## Properties
- ΔE_f (eV/atom) = 0.2214
- crystal system = cubic

***

Computed, not measured: an optimized crystal structure of LaEr4Tc at the GGA-PBE level of DFT.

Geometry as CIF:
```
data_LaEr4Tc
_chemical_formula_sum 'La4 Er16 Tc4'
_symmetry_space_group_name_H-M 'P n m a'
_symmetry_Int_Tables_number 62
_cell_length_a 8.776
_cell_length_b 3.749
_cell_length_c 20.567
_cell_angle_alpha 90.00
_cell_angle_beta 90.00
_cell_angle_gamma 90.00
loop_
_symmetry_equiv_pos_as_xyz
'x,y,z'
'-x,-y,-z'
'-x+1/2,-y,z+1/2'
'x+1/2,y,-z+1/2'
'x+1/2,-y+1/2,-z+1/2'
'-x+1/2,y+1/2,z+1/2'
'-x,y+1/2,-z'
'x,-y+1/2,z'
loop_
_atom_site_label
_atom_site_type_symbol
_atom_site_fract_x
_atom_site_fract_y
_atom_site_fract_z
La1 La 0.227 0.250 0.188
Er1 Er 0.008 0.750 0.565
Er2 Er 0.043 0.750 0.297
Er3 Er 0.133 0.750 0.042
Er4 Er 0.149 0.750 0.860
Tc1 Tc 0.239 0.750 0.454
```

## Properties
- ΔE_f (eV/atom) = -0.0135
- crystal system = orthorhombic

***

Computed, not measured: an optimized crystal structure of La2Er3Tc at the GGA-PBE level of DFT.

Geometry as CIF:
```
data_La2Er3Tc
_chemical_formula_sum 'La4 Er6 Tc2'
_symmetry_space_group_name_H-M 'P -1'
_symmetry_Int_Tables_number 2
_cell_length_a 6.610
_cell_length_b 6.641
_cell_length_c 9.040
_cell_angle_alpha 75.35
_cell_angle_beta 75.31
_cell_angle_gamma 67.91
loop_
_symmetry_equiv_pos_as_xyz
'x,y,z'
'-x,-y,-z'
loop_
_atom_site_label
_atom_site_type_symbol
_atom_site_fract_x
_atom_site_fract_y
_atom_site_fract_z
La1 La 0.082 0.090 0.142
La2 La 0.396 0.412 0.871
Er1 Er 0.064 0.556 0.274
Er2 Er 0.258 0.756 0.502
Er3 Er 0.444 0.940 0.748
Tc1 Tc 0.254 0.222 0.503
```

## Properties
- ΔE_f (eV/atom) = 0.0287
- crystal system = triclinic

***

Computed, not measured: an optimized crystal structure of La2ErTc at the GGA-PBE level of DFT.

Geometry as CIF:
```
data_La2ErTc
_chemical_formula_sum 'La4 Er2 Tc2'
_symmetry_space_group_name_H-M 'P 1 21/m 1'
_symmetry_Int_Tables_number 11
_cell_length_a 4.073
_cell_length_b 9.437
_cell_length_c 6.376
_cell_angle_alpha 90.00
_cell_angle_beta 108.51
_cell_angle_gamma 90.00
loop_
_symmetry_equiv_pos_as_xyz
'x,y,z'
'-x,-y,-z'
'-x,y+1/2,-z'
'x,-y+1/2,z'
loop_
_atom_site_label
_atom_site_type_symbol
_atom_site_fract_x
_atom_site_fract_y
_atom_site_fract_z
La1 La 0.140 0.070 0.281
Er1 Er 0.421 0.250 0.840
Tc1 Tc 0.238 0.750 0.480
```

## Properties
- ΔE_f (eV/atom) = -0.0291
- crystal system = monoclinic

***

Computed, not measured: an optimized crystal structure of LaEr4Te6 at the GGA-PBE level of DFT.

Geometry as CIF:
```
data_LaEr4Te6
_chemical_formula_sum 'La4 Er16 Te24'
_symmetry_space_group_name_H-M 'C m c m'
_symmetry_Int_Tables_number 63
_symmetry_space_group_name_Hall '-C 2c 2'
_cell_length_a 4.318
_cell_length_b 14.193
_cell_length_c 22.139
_cell_angle_alpha 90.00
_cell_angle_beta 90.00
_cell_angle_gamma 90.00
loop_
_atom_site_label
_atom_site_type_symbol
_atom_site_fract_x
_atom_site_fract_y
_atom_site_fract_z
La1 La 0.000 0.154 0.250
Er1 Er 0.000 0.092 0.624
Er2 Er 0.000 0.355 0.535
Te1 Te 0.000 0.000 0.000
Te2 Te 0.000 0.177 0.750
Te3 Te 0.000 0.264 0.093
Te4 Te 0.000 0.451 0.661
```

## Properties
- raw total energy (eV/atom) = -5.194
- crystal system = orthorhombic

***

Computed, not measured: an optimized crystal structure of LaErTe at the GGA-PBE level of DFT.

Geometry as CIF:
```
data_LaErTe
_chemical_formula_sum 'La1 Er1 Te1'
_symmetry_space_group_name_H-M 'P 3 m 1'
_symmetry_Int_Tables_number 156
_cell_length_a 5.2352
_cell_length_b 5.2352
_cell_length_c 4.0070
_cell_angle_alpha 90.00
_cell_angle_beta 90.00
_cell_angle_gamma 120.00
loop_
_symmetry_equiv_pos_as_xyz
'x,y,z'
'-y,x-y,z'
'-x+y,-x,z'
'-y,-x,z'
'-x+y,y,z'
'x,x-y,z'
loop_
_atom_site_label
_atom_site_type_symbol
_atom_site_fract_x
_atom_site_fract_y
_atom_site_fract_z
La1 La 0.0000 0.0000 0.0000
Er1 Er 0.3333 0.6667 0.4991
Te1 Te 0.6667 0.3333 0.4727
```

## Properties
- crystal system = trigonal
- energy above the most stable polymorph in this dataset (eV per atom) = 0.359

***

Computed, not measured: an optimized crystal structure of LaErTe at the GGA-PBE level of DFT.

Geometry as CIF:
```
data_LaErTe
_chemical_formula_sum 'La2 Er2 Te2'
_symmetry_space_group_name_H-M 'I 4 m m'
_symmetry_Int_Tables_number 107
_symmetry_space_group_name_Hall 'I 4 -2'
_cell_length_a 3.961
_cell_length_b 3.961
_cell_length_c 11.872
_cell_angle_alpha 90.00
_cell_angle_beta 90.00
_cell_angle_gamma 90.00
loop_
_atom_site_label
_atom_site_type_symbol
_atom_site_fract_x
_atom_site_fract_y
_atom_site_fract_z
La1 La 0.000 0.000 0.000
Er1 Er 0.000 0.000 0.307
Te1 Te 0.000 0.000 0.677
```

## Properties
- crystal system = tetragonal
- energy above the most stable polymorph in this dataset (eV per atom) = 0.145

***

Computed, not measured: an optimized crystal structure of La2Er3Te8 at the GGA-PBE level of DFT.

Geometry as CIF:
```
data_La2Er3Te8
_chemical_formula_sum 'La4 Er6 Te16'
_symmetry_space_group_name_H-M 'C 1 2/m 1'
_symmetry_Int_Tables_number 12
_cell_length_a 15.688
_cell_length_b 8.784
_cell_length_c 7.571
_cell_angle_alpha 90.00
_cell_angle_beta 108.49
_cell_angle_gamma 90.00
loop_
_symmetry_equiv_pos_as_xyz
'x,y,z'
'-x,-y,-z'
'-x,y,-z'
'x,-y,z'
'x+1/2,y+1/2,z'
'-x+1/2,-y+1/2,-z'
'-x+1/2,y+1/2,-z'
'x+1/2,-y+1/2,z'
loop_
_atom_site_label
_atom_site_type_symbol
_atom_site_fract_x
_atom_site_fract_y
_atom_site_fract_z
La1 La 0.247 0.000 0.169
Er1 Er 0.000 0.243 0.500
Er2 Er 0.000 0.500 0.000
Te1 Te 0.115 0.254 0.909
Te2 Te 0.115 0.500 0.410
Te3 Te 0.118 0.000 0.419
```

## Properties
- raw total energy (eV/atom) = -5.075
- crystal system = monoclinic

***

no.,Fermi-level density of states (states/eV per cell)
1,20.1
2,5.6
3,31.0
4,22.2
5,14.8
6,7.1
7,16.4
8,5.0
9,7.4
10,14.7